Here is a geometry-optimized VSbRuO6 structure from Alexandria via LeMat-Bulk. Energies are from GGA+U.

## Properties
E_tot (eV/cell): -125.09
Magnetic moment (μB per cell): 0.03

Cell: 5.155 5.155 8.660 Å, 90.00 90.00 120.00°
Positions (direct):
1 Sb 0.333 0.667 0.250
2 Ru 0.000 0.000 0.000
3 V 0.667 0.333 0.250
4 O 0.335 0.002 0.127
5 O 0.665 0.998 0.873
6 O 0.333 0.335 0.873
7 O 0.667 0.002 0.373
8 O 0.335 0.333 0.373
9 Sb 0.667 0.333 0.750
10 V 0.333 0.667 0.750
11 O 0.665 0.667 0.627
12 O 0.998 0.665 0.373
13 Ru 0.000 0.000 0.500
14 O 0.667 0.665 0.127
15 O 0.002 0.335 0.627
16 O 0.333 0.998 0.627
17 O 0.002 0.667 0.873
18 O 0.998 0.333 0.127